Arrangement one

A plane-wave DFT calculation with PBE-GGA was carried out for a relaxed structure of AcPrPtAu.

```
data_AcPrPtAu
_cell_length_a 4.8230
_cell_length_b 4.0647
_cell_length_c 11.3042
_cell_angle_alpha 90.00
_cell_angle_beta 90.00
_cell_angle_gamma 90.00
_symmetry_space_group_name_H-M 'A m m 2'
_symmetry_Int_Tables_number 38
loop_
_symmetry_equiv_pos_as_xyz
'x,y,z'
'-x,-y,z'
'-x,y,z'
'x,-y,z'
'x,y+1/2,z+1/2'
'-x,-y+1/2,z+1/2'
'-x,y+1/2,z+1/2'
'x,-y+1/2,z+1/2'
loop_
_atom_site_label
_atom_site_type_symbol
_atom_site_fract_x
_atom_site_fract_y
_atom_site_fract_z
Ac1 Ac 0.0000 0.0000 0.0000
Pr1 Pr 0.5000 0.0000 0.7267
Pt1 Pt 0.0000 0.0000 0.2729
Au1 Au 0.5000 0.0000 0.4470
```

As for the density of states at the Fermi level: 3.1 states/eV/f.u. The value obtained for the volume is 27.701 A^3/atom. The crystal system is orthorhombic.


Arrangement two

A plane-wave DFT calculation with PBE-GGA was carried out for a relaxed structure of AcPrPtAu.

```
data_AcPrPtAu
_cell_length_a 7.5444
_cell_length_b 7.5444
_cell_length_c 7.5444
_cell_angle_alpha 90.00
_cell_angle_beta 90.00
_cell_angle_gamma 90.00
_symmetry_space_group_name_H-M 'F -4 3 m'
_symmetry_Int_Tables_number 216
_symmetry_space_group_name_Hall 'F -4 2 3'
loop_
_atom_site_label
_atom_site_type_symbol
_atom_site_fract_x
_atom_site_fract_y
_atom_site_fract_z
Ac1 Ac 0.0000 0.0000 0.0000
Pr1 Pr 0.0000 0.0000 0.5000
Pt1 Pt 0.2500 0.2500 0.7500
Au1 Au 0.2500 0.2500 0.2500
```

As for the density of states at the Fermi level: 2.6 states/eV/f.u. The value obtained for the volume is 26.838 A^3/atom. The crystal system is cubic.


Result of the stability comparison: arrangement two is the least stable of them.